1.
VASP calculation (GGA-PBE) on crystalline BeTlCuRe at its relaxed geometry.

Output
- raw total energy (eV/atom) = -4.65
- space group = F-43m
- energy relative to the lowest polymorph listed for this composition (meV per atom) = 74

Cell lengths 4.404, 4.404, 4.404 Å; angles 60.00, 60.00, 60.00 degrees
Element x y z (fractional)
Be 0.000 0.000 0.000
Tl 0.500 0.500 0.500
Cu 0.750 0.750 0.750
Re 0.250 0.250 0.250

=====

2.
VASP calculation (GGA-PBE) on crystalline Be2CuSb at its relaxed geometry.

Output
- raw total energy (eV/atom) = -3.17
- space group = F-43m

Cell lengths 4.357, 4.357, 4.357 Å; angles 60.00, 60.00, 60.00 degrees
Element x y z (fractional)
Be 0.000 0.000 0.000
Be 0.250 0.250 0.250
Cu 0.750 0.750 0.750
Sb 0.500 0.500 0.500

=====

3.
VASP calculation (GGA-PBE) on crystalline BeCu2Sb at its relaxed geometry.

Output
- raw total energy (eV/atom) = -3.58
- space group = Pm-3m
- energy relative to the lowest polymorph listed for this composition (meV per atom) = 0

Cell lengths 6.169, 6.169, 6.169 Å; angles 90.00, 90.00, 90.00 degrees
Element x y z (fractional)
Be 0.000 0.000 0.000
Be 0.000 0.000 0.500
Be 0.000 0.500 0.000
Be 0.500 0.000 0.000
Cu 0.208 0.208 0.208
Cu 0.208 0.208 0.792
Cu 0.208 0.792 0.208
Cu 0.208 0.792 0.792
Cu 0.792 0.208 0.208
Cu 0.792 0.208 0.792
Cu 0.792 0.792 0.208
Cu 0.792 0.792 0.792
Sb 0.000 0.500 0.500
Sb 0.500 0.000 0.500
Sb 0.500 0.500 0.000
Sb 0.500 0.500 0.500